1.
Below is a relaxed CoNi2Cl crystal, with properties calculated at the PBE level.

a b c (Å): 4.608 4.608 4.134
angles (deg): 90.26 90.26 35.57
Fractional positions:
Co1 0.000 0.000 0.000
Ni1 0.276 0.276 0.234
Ni2 0.724 0.724 0.766
Cl1 0.500 0.500 0.500

Values from the calculation:
Its polymorph energy (0 for the lowest one) is 267.7 meV per atom. Its uncorrected formation energy is 483 meV per atom.



2.
Below is a relaxed CdPAu crystal, with properties calculated at the PBE level.

a b c (Å): 4.393 5.774 5.860
angles (deg): 106.48 111.82 101.02
Fractional positions:
Cd1 0.000 0.000 0.000
Cd2 0.454 0.630 0.176
P1 0.266 0.062 0.691
P2 0.862 0.140 0.397
Au1 0.122 0.598 0.520
Au2 0.738 0.446 0.803

Values from the calculation:
The formation energy is 0.01 eV per formula unit.



3.
Below is a relaxed Ho3Cu2Rh7 crystal, with properties calculated at the PBE level.

a b c (Å): 8.990 8.990 8.990
angles (deg): 34.21 34.21 34.21
Fractional positions:
Ho1 0.000 0.000 0.000
Ho2 0.140 0.140 0.140
Ho3 0.860 0.860 0.860
Cu1 0.334 0.334 0.334
Cu2 0.666 0.666 0.666
Rh1 0.079 0.584 0.584
Rh2 0.416 0.416 0.921
Rh3 0.416 0.921 0.416
Rh4 0.500 0.500 0.500
Rh5 0.584 0.079 0.584
Rh6 0.584 0.584 0.079
Rh7 0.921 0.416 0.416

Values from the calculation:
The formation energy is -6.74 eV per formula unit.